No. 1
The following is a PBE-GGA calculation of an optimized crystal structure of V5Ga5Ge, from Alexandria via LeMat-Bulk.

- energy relative to the elements (eV/atom) = 0.129

Cell: 12.3790 4.9046 5.9519 Å, 90.00 103.88 90.00°
Closest atoms and distances in Å follow each position.
Space group C2/m (No. 12)
Asymmetric unit:
V: 0.0000 0.0000 0.0000 (multiplicity 2)  4 Ga 2.44, 2 Ge 2.45
V: 0.1766 0.5000 0.3150 (multiplicity 4)  5 Ga 2.49-2.67, 1 Ge 2.52, 1 V 2.58
V: 0.1962 0.5000 0.8931 (multiplicity 4)  1 V 2.58, 4 Ga 2.61-2.65, 1 Ge 2.65
Ga: 0.0000 0.5000 0.5000 (multiplicity 2)  4 V 2.67-2.94, 2 Ge 2.98
Ga: 0.1316 0.0000 0.7538 (multiplicity 4)  5 V 2.44-2.65, 1 Ga 2.48
Ga: 0.1515 0.0000 0.3498 (multiplicity 4)  5 V 2.44-2.64, 1 Ga 2.48
Ge: 0.0000 0.5000 0.0000 (multiplicity 2)  6 V 2.45-2.65



No. 2
The following is a PBE-GGA calculation of an optimized crystal structure of CsIn2GeRh, from Alexandria via LeMat-Bulk.

- energy relative to the elements (eV/atom) = -0.072

Cell: 5.3175 5.3175 4.9316 Å, 90.00 90.00 90.00°
Closest atoms and distances in Å follow each position.
Space group P4/mmm (No. 123)
Asymmetric unit:
Cs: 0.0000 0.0000 0.0000 (multiplicity 1)  8 In 3.63, 4 Ge 3.76
In: 0.0000 0.5000 0.5000 (multiplicity 2)  2 Rh 2.66
Ge: 0.5000 0.5000 0.0000 (multiplicity 1)  2 Rh 2.47
Rh: 0.5000 0.5000 0.5000 (multiplicity 1)  2 Ge 2.47, 4 In 2.66



No. 3
The following is a PBE-GGA calculation of an optimized crystal structure of TaV4Ga4, from Alexandria via LeMat-Bulk.

- energy relative to the elements (eV/atom) = 0.059

Cell: 7.5110 7.5110 4.8547 Å, 90.00 90.00 90.00°
Closest atoms and distances in Å follow each position.
Space group P4_2/n (No. 86, origin choice 2)
Asymmetric unit:
Ta: 0.2500 0.2500 0.2500 (multiplicity 2)  4 Ga 2.71, 4 V 2.72
V: 0.1018 0.7997 0.6404 (multiplicity 8)  1 V 2.35, 2 Ga 2.59-2.60
Ga: 0.0441 0.1282 0.8329 (multiplicity 8)  5 V 2.59-2.83, 3 Ga 2.60-2.67, 1 Ta 2.71



No. 4
The following is a PBE-GGA calculation of an optimized crystal structure of Cs3SrCu2F9, from Alexandria via LeMat-Bulk.

- energy relative to the elements, uncorrected (kJ/mol of formula units) = -3597

Cell: 6.2393 6.2393 7.6879 Å, 90.00 90.00 120.00°
Closest atoms and distances in Å follow each position.
Space group P-3m1 (No. 164)
Asymmetric unit:
Cs: 0.0000 0.0000 0.0000 (multiplicity 1)  12 F 3.09-3.12
Cs: 0.3333 0.6667 0.6767 (multiplicity 2)  12 F 3.07-3.26
Sr: 0.0000 0.0000 0.5000 (multiplicity 1)  6 F 2.42
Cu: 0.3333 0.6667 0.1532 (multiplicity 2)  6 F 2.06-2.15
F: 0.0000 0.5000 0.0000 (multiplicity 3)  2 Cu 2.15
F: 0.1796 0.3592 0.3122 (multiplicity 6)  1 Cu 2.06



No. 5
The following is a PBE-GGA calculation of an optimized crystal structure of Nb2BiMoAu, from Alexandria via LeMat-Bulk.

- energy relative to the elements (eV/atom) = 1.500

Cell: 5.0096 5.0096 4.9313 Å, 90.00 90.00 90.00°
Closest atoms and distances in Å follow each position.
Space group P4/mmm (No. 123)
Asymmetric unit:
Nb: 0.0000 0.5000 0.0000 (multiplicity 2)  2 Au 2.50
Bi: 0.0000 0.0000 0.5000 (multiplicity 1)  8 Nb 3.51, 4 Mo 3.54
Mo: 0.5000 0.5000 0.5000 (multiplicity 1)  2 Au 2.47
Au: 0.5000 0.5000 0.0000 (multiplicity 1)  2 Mo 2.47, 4 Nb 2.50



No. 6
The following is a PBE-GGA calculation of an optimized crystal structure of TmZr2Tl3Te6, from Alexandria via LeMat-Bulk.

- energy relative to the elements, uncorrected (kJ/mol of formula units) = -863

Cell: 7.2542 12.5742 8.7572 Å, 90.00 106.05 90.00°
Closest atoms and distances in Å follow each position.
Space group C2/m (No. 12)
Asymmetric unit:
Tm: 0.0000 0.0000 0.0000 (multiplicity 2)  6 Te 3.04-3.05
Zr: 0.0000 0.3318 0.0000 (multiplicity 4)  6 Te 2.97-2.98
Tl: 0.0000 0.1618 0.5000 (multiplicity 4)  6 Te 3.42-3.45
Tl: 0.0000 0.5000 0.5000 (multiplicity 2)  6 Te 3.41-3.45
Te: 0.2266 0.5000 0.2071 (multiplicity 4)  2 Zr 2.97, 1 Tm 3.04
Te: 0.2416 0.1707 0.2111 (multiplicity 8)  2 Zr 2.97-2.98, 1 Tm 3.05



no.,M_tot (μB per formula unit),N(E_F) (states/eV/cell)
1,0.0,13.83
2,0.0,3.35
3,0.0,14.11
4,2.0,2.63
5,0.0,7.35
6,0.0,13.42